Computed, not measured: crystalline CsSnPd at its relaxed geometry at the PBE level of DFT.

```
CsSnPd
1.0
-1.708 -1.194 -2.975
-2.536 -1.559 2.081
-1.610 7.192 0.255
Pd Sn Cs
1 1 1
direct
0.712 0.712 0.424
0.286 0.286 0.572
0.002 0.002 0.004
```

- Formation enthalpy at 0 K: -0.22 eV/atom
- Space-group type: I4mm
- V: 30.40 A^3/atom
- Offset from the most stable computed form: 174.1 meV/atom

---

Computed, not measured: crystalline CsSnPd2 at its relaxed geometry at the PBE level of DFT.

```
CsSnPd2
1.0
-3.267 -0.750 -3.124
-3.715 -4.215 4.896
-3.525 5.776 2.299
Pd Sn Cs
4 2 2
direct
0.000 0.188 0.905
0.500 0.688 0.095
0.500 0.312 0.095
0.000 0.812 0.905
0.500 0.000 0.891
0.000 0.500 0.109
0.500 0.500 0.622
0.000 0.000 0.378
```

- Formation enthalpy at 0 K: -0.38 eV/atom
- Space-group type: Pmmn
- V: 30.50 A^3/atom

---

Computed, not measured: crystalline CsSn8Pd2 at its relaxed geometry at the PBE level of DFT.

```
CsSn8Pd2
1.0
-3.992 -3.847 3.606
-3.572 -0.704 -6.268
5.397 -4.788 -0.696
Sn Cs Pd
8 1 2
direct
0.137 0.084 0.368
0.818 0.367 0.367
0.500 0.350 0.650
0.863 0.916 0.632
0.863 0.632 0.916
0.137 0.368 0.084
0.500 0.650 0.350
0.182 0.633 0.633
0.500 0.000 0.000
0.000 0.703 0.297
0.000 0.297 0.703
```

- Formation enthalpy at 0 K: -0.15 eV/atom
- Space-group type: C2/m
- V: 30.26 A^3/atom